! Nd2HoEr5Sc | the Alexandria database | GGA-PBE | relaxed; values from VASP
! * formation energy from the elements: 6.4 kcal/mol of atoms
! * DFT total energy: -81.5 eV/cell
! * DOS(E_F): 23.89 states/eV per cell
! * space group: No. 140
&SYSTEM
  ibrav = 0, nat = 18, ntyp = 4
/
ATOMIC_SPECIES
Nd 144.24 Nd.upf
Ho 164.93 Ho.upf
Er 167.26 Er.upf
Sc 44.96 Sc.upf
CELL_PARAMETERS angstrom
-4.229 4.229 7.838
4.229 -4.229 7.838
4.229 4.229 -7.838
ATOMIC_POSITIONS crystal
Nd 0.120 0.620 0.740
Nd 0.380 0.120 0.500
Nd 0.620 0.880 0.500
Nd 0.880 0.380 0.260
Ho 0.250 0.250 0.000
Ho 0.750 0.750 0.000
Er 0.000 0.000 0.000
Er 0.067 0.146 0.500
Er 0.146 0.646 0.078
Er 0.354 0.433 0.500
Er 0.433 0.933 0.078
Er 0.500 0.500 0.000
Er 0.567 0.067 0.922
Er 0.646 0.567 0.500
Er 0.854 0.354 0.922
Er 0.933 0.854 0.500
Sc 0.250 0.750 0.500
Sc 0.750 0.250 0.500